Record 1
This record from OQMD via LeMat-Bulk describes PrTmCuSe3 after structural relaxation. The functional is PBE-GGA.

The volume comes out at 23.2 A^3/atom. The calculation puts the total energy at -127.50 eV for the cell shown. As for the total moment: 0.01 μB/f.u.

The structure belongs to space group Cmcm (No. 63); the cell edges are 3.959, 13.520 and 10.382 Å and the angles 90.00°, 90.00° and 90.00°. The asymmetric unit holds Pr at (0.000, 0.234, 0.250), Tm at (0.000, 0.000, 0.000), Cu at (0.000, 0.473, 0.750), Se at (0.000, 0.088, 0.750) and Se at (0.000, 0.358, 0.565).

=====

Record 2
This record from OQMD via LeMat-Bulk describes Pr4Cu3Si after structural relaxation. The functional is PBE-GGA.

The volume comes out at 24.0 A^3/atom. The calculation puts the total energy at -37.91 eV for the cell shown. As for the total moment: 0.02 μB/f.u.

The structure belongs to space group Pm (No. 6); the cell edges are 5.839, 4.266 and 7.708 Å and the angles 90.00°, 90.69° and 90.00°. The asymmetric unit holds Pr at (0.000, 0.000, 0.000), Pr at (0.232, 0.000, 0.493), Pr at (0.496, 0.500, 0.844), Pr at (0.733, 0.500, 0.354), Cu at (0.256, 0.500, 0.205), Cu at (0.488, 0.000, 0.142), Cu at (0.758, 0.000, 0.643) and Si at (0.992, 0.500, 0.712).

=====

Record 3
This record from OQMD via LeMat-Bulk describes Pr2CuSi after structural relaxation. The functional is PBE-GGA.

The volume comes out at 24.4 A^3/atom. The calculation puts the total energy at -40.74 eV for the cell shown. As for the total moment: 0.01 μB/f.u.

The structure belongs to space group P2_1/m (No. 11); the cell edges are 5.884, 4.012 and 8.288 Å and the angles 90.00°, 92.45° and 90.00°. The asymmetric unit holds Pr at (0.129, 0.250, 0.181), Pr at (0.371, 0.250, 0.677), Cu at (0.119, 0.750, 0.467) and Si at (0.377, 0.750, 0.965).

=====

total moment of number 1 (PrTmCuSe3)?
0.01 μB/f.u.

=====

total moment of number 1 (PrTmCuSe3)?
0.01 μB/f.u.

=====

The lowest volume belongs to which entry?
PrTmCuSe3